VASP calculation (PBE+U) on KCr2B2O6 after structural relaxation.

**Crystal system**: triclinic

Cell: 5.552 5.281 5.723 Å, 115.31 91.98 66.31°
Each line ends with the local moment (μB).
Element x y z (fractional)
O (0.901, 0.130, 0.361)  -0.05
O (0.864, 0.444, 0.146)  -0.03
O (0.136, 0.556, 0.854)  -0.03
O (0.496, 0.333, 0.205)  -0.01
O (0.099, 0.870, 0.639)  -0.05
O (0.504, 0.667, 0.795)  -0.01
Cr (0.867, 0.342, 0.761)  3.42
Cr (0.133, 0.658, 0.239)  3.42
B (0.747, 0.302, 0.233)  0.01
B (0.253, 0.698, 0.767)  0.01
K (0.500, 0.000, 0.500)  0.01

VASP calculation (PBE+U) on KCrBO4 after structural relaxation.

**Crystal system**: cubic

Cell: 5.321 5.321 5.321 Å, 60.00 60.00 60.00°
Each line ends with the local moment (μB).
Element x y z (fractional)
K (0.750, 0.750, 0.750)  0.00
O (0.363, 0.910, 0.363)  0.01
O (0.910, 0.363, 0.363)  0.01
O (0.363, 0.363, 0.363)  0.01
O (0.363, 0.363, 0.910)  0.01
Cr (0.500, 0.500, 0.500)  1.95
B (0.250, 0.250, 0.250)  -0.01

VASP calculation (PBE+U) on KCrBO3 after structural relaxation.

**Crystal system**: orthorhombic

Cell: 2.860 6.065 10.002 Å, 90.00 90.00 103.64°
Each line ends with the local moment (μB).
Element x y z (fractional)
Cr (0.000, 0.000, 0.000)  3.76
Cr (0.000, 0.000, 0.500)  3.76
K (0.773, 0.546, 0.750)  0.00
K (0.227, 0.454, 0.250)  0.00
O (0.919, 0.838, 0.250)  0.03
O (0.558, 0.117, 0.128)  -0.02
O (0.442, 0.883, 0.872)  -0.02
O (0.081, 0.162, 0.750)  0.03
O (0.442, 0.883, 0.628)  -0.02
O (0.558, 0.117, 0.372)  -0.02
B (0.508, 0.016, 0.750)  0.01
B (0.492, 0.984, 0.250)  0.01

VASP calculation (PBE+U) on KCr2BO4 after structural relaxation.

**Crystal system**: tetragonal

Cell: 5.298 5.298 4.965 Å, 122.23 122.23 90.02°
Each line ends with the local moment (μB).
Element x y z (fractional)
B (0.500, 0.500, 0.000)  0.02
Cr (0.250, 0.750, 0.501)  3.79
Cr (0.750, 0.250, 0.501)  3.79
O (0.529, 0.529, 0.729)  -0.02
O (0.800, 0.471, 0.271)  -0.02
O (0.471, 0.800, 0.271)  -0.02
O (0.200, 0.200, 0.729)  -0.02
K (0.000, 0.000, 0.000)  0.02

no.,energy (eV per atom),V (A^3/atom)
1,-7.37,12.5
2,-6.81,15.2
3,-6.89,14.0
4,-7.06,11.4